1.
The following is a DFT calculation (PBE) of SrRhSe2 after structural relaxation.

abc: 4.987 4.987 4.987
angles: 60.00 60.00 60.00
Fractional coordinates of all 4 atoms:
Sr 0.000 0.000 0.000
Rh 0.750 0.750 0.750
Se 0.250 0.250 0.250
Se 0.500 0.500 0.500

## Properties
Polymorph energy (0 for the lowest one) ... 826 meV/atom
Uncorrected energy ... -16.421 eV for the cell shown

---

2.
The following is a DFT calculation (PBE) of SrRh2Se after structural relaxation.

abc: 4.316 4.316 4.019
angles: 90.00 90.00 90.00
Fractional coordinates of all 4 atoms:
Sr 0.000 0.000 0.000
Rh 0.000 0.500 0.500
Rh 0.500 0.000 0.500
Se 0.500 0.500 0.000

## Properties
Uncorrected energy ... -20.416 eV for the cell shown

---

3.
The following is a DFT calculation (PBE) of SrRhSe2 after structural relaxation.

abc: 6.513 6.513 6.513
angles: 37.31 37.31 37.31
Fractional coordinates of all 4 atoms:
Sr 0.000 0.000 0.000
Rh 0.500 0.500 0.500
Se 0.227 0.227 0.227
Se 0.773 0.773 0.773

## Properties
Polymorph energy (0 for the lowest one) ... 7 meV/atom
Uncorrected energy ... -19.694 eV for the cell shown

---

4.
The following is a DFT calculation (PBE) of SrRh2Se after structural relaxation.

abc: 4.662 4.106 5.045
angles: 90.00 96.30 90.00
Fractional coordinates of all 4 atoms:
Sr 0.000 0.000 0.000
Rh 0.437 0.500 0.753
Rh 0.563 0.500 0.247
Se 0.500 0.000 0.500

## Properties
Uncorrected energy ... -21.104 eV for the cell shown

---

Table of total moment (μB per formula unit), in record order: 0.186, 0.000, 0.340, 0.000